1.
The following is a GGA-PBE calculation of a geometry-optimized Ce2PuBiN2 structure, from Alexandria via LeMat-Bulk.

Cell and atoms, written as CIF:
```
data_Ce2PuBiN2
_space_group_name_H-M_alt 'P 4/m m m'
_space_group_IT_number 123
_space_group_name_Hall '-P 4 2'
_cell_length_a 4.3862
_cell_length_b 4.3862
_cell_length_c 6.7236
_cell_angle_alpha 90.00
_cell_angle_beta 90.00
_cell_angle_gamma 90.00
loop_
_atom_site_label
_atom_site_fract_x
_atom_site_fract_y
_atom_site_fract_z
_atom_site_occupancy
Ce1 0.0000 0.0000 0.2328 1
Pu1 0.5000 0.5000 0.0000 1
Bi1 0.5000 0.5000 0.5000 1
N1 0.0000 0.5000 0.0000 1
```

Calculated values
Its crystal system is tetragonal. The value obtained for the density of states at the Fermi level is 13.2 states/eV/f.u. The raw formation energy is -6.18 eV/f.u. As for the magnetic moment: 6.8 μB/f.u.

2.
The following is a GGA-PBE calculation of a geometry-optimized Er2MnPd9 structure, from Alexandria via LeMat-Bulk.

Cell and atoms, written as CIF:
```
data_Er2MnPd9
_space_group_name_H-M_alt 'P 4/m m m'
_space_group_IT_number 123
_space_group_name_Hall '-P 4 2'
_cell_length_a 4.0559
_cell_length_b 4.0559
_cell_length_c 12.0723
_cell_angle_alpha 90.00
_cell_angle_beta 90.00
_cell_angle_gamma 90.00
loop_
_atom_site_label
_atom_site_fract_x
_atom_site_fract_y
_atom_site_fract_z
_atom_site_occupancy
Er1 0.0000 0.0000 0.1723 1
Mn1 0.0000 0.0000 0.5000 1
Pd1 0.0000 0.5000 0.0000 1
Pd2 0.0000 0.5000 0.3440 1
Pd3 0.5000 0.5000 0.1715 1
Pd4 0.5000 0.5000 0.5000 1
```

Calculated values
Its crystal system is tetragonal. The value obtained for the density of states at the Fermi level is 11.7 states/eV/f.u. The calculation puts the energy of formation at -657 meV/atom. As for the magnetic moment: 4.1 μB/f.u.

3.
The following is a GGA-PBE calculation of a geometry-optimized Pu2BeAl4Pt3 structure, from Alexandria via LeMat-Bulk.

Cell and atoms, written as CIF:
```
data_Pu2BeAl4Pt3
_space_group_name_H-M_alt 'P -4 m 2'
_space_group_IT_number 115
_space_group_name_Hall 'P -4 -2'
_cell_length_a 4.1730
_cell_length_b 4.1730
_cell_length_c 10.5737
_cell_angle_alpha 90.00
_cell_angle_beta 90.00
_cell_angle_gamma 90.00
loop_
_atom_site_label
_atom_site_fract_x
_atom_site_fract_y
_atom_site_fract_z
_atom_site_occupancy
Pu1 0.0000 0.5000 0.2422 1
Be1 0.5000 0.5000 0.0000 1
Al1 0.0000 0.0000 0.5000 1
Al2 0.0000 0.5000 0.8744 1
Al3 0.5000 0.5000 0.5000 1
Pt1 0.0000 0.0000 0.0000 1
Pt2 0.0000 0.5000 0.6373 1
```

Calculated values
Its crystal system is tetragonal. The value obtained for the density of states at the Fermi level is 26.3 states/eV/f.u. The calculation puts the energy of formation at -712 meV/atom. As for the magnetic moment: 10.7 μB/f.u.

4.
The following is a GGA-PBE calculation of a geometry-optimized NbVNi3 structure, from Alexandria via LeMat-Bulk.

Cell and atoms, written as CIF:
```
data_NbVNi3
_space_group_name_H-M_alt 'P -1'
_space_group_IT_number 2
_space_group_name_Hall '-P 1'
_cell_length_a 3.7731
_cell_length_b 4.9431
_cell_length_c 7.1371
_cell_angle_alpha 90.17
_cell_angle_beta 105.27
_cell_angle_gamma 90.01
loop_
_atom_site_label
_atom_site_fract_x
_atom_site_fract_y
_atom_site_fract_z
_atom_site_occupancy
Nb1 0.2189 0.2501 0.4369 1
V1 0.0094 0.2500 0.0196 1
Ni1 0.1622 0.7498 0.3251 1
Ni2 0.4073 0.5016 0.8139 1
Ni3 0.4073 0.9993 0.8138 1
```

Calculated values
Its crystal system is triclinic. The value obtained for the density of states at the Fermi level is 5.4 states/eV/f.u. The value obtained for the energy above the most stable polymorph in this dataset is 0.000 eV per atom. The calculation puts the energy of formation at -169 meV/atom. As for the magnetic moment: 0.0 μB/f.u.

5.
The following is a GGA-PBE calculation of a geometry-optimized ScTlGaOs2 structure, from Alexandria via LeMat-Bulk.

Cell and atoms, written as CIF:
```
data_ScTlGaOs2
_space_group_name_H-M_alt 'P 4/m m m'
_space_group_IT_number 123
_space_group_name_Hall '-P 4 2'
_cell_length_a 5.0055
_cell_length_b 5.0055
_cell_length_c 4.7833
_cell_angle_alpha 90.00
_cell_angle_beta 90.00
_cell_angle_gamma 90.00
loop_
_atom_site_label
_atom_site_fract_x
_atom_site_fract_y
_atom_site_fract_z
_atom_site_occupancy
Sc1 0.0000 0.0000 0.0000 1
Tl1 0.5000 0.5000 0.5000 1
Ga1 0.5000 0.5000 0.0000 1
Os1 0.0000 0.5000 0.5000 1
```

Calculated values
Its crystal system is tetragonal. The value obtained for the density of states at the Fermi level is 6.2 states/eV/f.u. The calculation puts the energy of formation at 1909 meV/atom. As for the magnetic moment: 0.5 μB/f.u.

6.
The following is a GGA-PBE calculation of a geometry-optimized Tb3SbP structure, from Alexandria via LeMat-Bulk.

Cell and atoms, written as CIF:
```
data_Tb3SbP
_space_group_name_H-M_alt 'P n m a'
_space_group_IT_number 62
_space_group_name_Hall '-P 2ac 2n'
_cell_length_a 7.5156
_cell_length_b 13.1587
_cell_length_c 5.7546
_cell_angle_alpha 90.00
_cell_angle_beta 90.00
_cell_angle_gamma 90.00
loop_
_atom_site_label
_atom_site_fract_x
_atom_site_fract_y
_atom_site_fract_z
_atom_site_occupancy
Tb1 0.0261 0.2500 0.1116 1
Tb2 0.1579 0.1133 0.6022 1
Sb1 0.0000 0.0000 0.0000 1
P1 0.1333 0.7500 0.3759 1
```

Calculated values
Its crystal system is orthorhombic. The value obtained for the density of states at the Fermi level is 4.1 states/eV/f.u. The raw formation energy is -4.31 eV/f.u. As for the magnetic moment: 0.0 μB/f.u.

Question: Which formula does entry 5 have?
Answer: ScTlGaOs2

Question: What is the magnetic moment in the fifth record?
Answer: 0.5 μB/f.u.

Question: Which value of magnetic moment does entry 5 give?
Answer: 0.5 μB/f.u.

Question: magnetic moment of number 3 (Pu2BeAl4Pt3)?
Answer: 10.7 μB/f.u.